## one
CaY3Ge (PBE, relaxed); space-group type = Pm-3m, No. 221
1.0
5.5951 0.0000 0.0000
0.0000 5.5951 0.0000
0.0000 0.0000 5.5951
Y Ge Ca
3 1 1
Direct
0.5000 0.0000 0.0000
0.0000 0.0000 0.5000
0.0000 0.5000 0.0000
0.0000 0.0000 0.0000
0.5000 0.5000 0.5000

=====

## two
CaY3Ge (PBE, relaxed); space-group type = Pm-3m, No. 221
1.0
5.4633 0.0000 0.0000
0.0000 5.4633 0.0000
0.0000 0.0000 5.4633
Ca Y Ge
1 3 1
Direct
0.0000 0.0000 0.0000
0.0000 0.0000 0.5000
0.5000 0.0000 0.0000
0.0000 0.5000 0.0000
0.5000 0.5000 0.5000

=====

The least stable of them is two.